Record 1
Compound: InB3Se
Source: Alexandria
Functional: PBE-GGA
Structure: optimized geometry

Values from the calculation:
E   -3.41 eV per atom
Uncorrected formation energy   1839 meV/atom
E above lowest polymorph   0.0000 eV per atom

abc: 4.199 4.199 4.199
angles: 90.00 90.00 90.00
Space group Pm-3m (No. 221)
Unique sites:
In 0.000 0.000 0.000 [1 per cell]
B 0.000 0.500 0.500 [3 per cell]
Se 0.500 0.500 0.500 [1 per cell]



Record 2
Compound: InB2Se6
Source: Alexandria
Functional: PBE-GGA
Structure: optimized geometry

Values from the calculation:
E   -4.18 eV per atom
Uncorrected formation energy   -67 meV/atom

abc: 14.291 10.084 6.504
angles: 90.00 103.21 90.00
Space group C2/c (No. 15)
Unique sites:
In 0.000 0.105 0.250 [4 per cell]
B 0.238 0.081 0.653 [8 per cell]
Se 0.097 0.118 0.647 [8 per cell]
Se 0.179 0.268 0.187 [8 per cell]
Se 0.209 0.432 0.633 [8 per cell]



Record 3
Compound: InSi2B
Source: Alexandria
Functional: PBE-GGA
Structure: optimized geometry

Values from the calculation:
E   -3.83 eV per atom
Uncorrected formation energy   1235 meV/atom
E above lowest polymorph   0.8450 eV per atom

abc: 6.423 6.423 6.423
angles: 90.00 90.00 90.00
Space group Fm-3m (No. 225)
Unique sites:
In 0.000 0.000 0.000 [4 per cell]
Si 0.250 0.250 0.250 [8 per cell]
B 0.000 0.000 0.500 [4 per cell]



Record 4
Compound: InSi3B
Source: Alexandria
Functional: PBE-GGA
Structure: optimized geometry

Values from the calculation:
E   -2.94 eV per atom
Uncorrected formation energy   2199 meV/atom
E above lowest polymorph   1.5182 eV per atom

abc: 5.100 5.100 5.100
angles: 90.00 90.00 90.00
Space group Pm-3m (No. 221)
Unique sites:
In 0.000 0.000 0.000 [1 per cell]
Si 0.000 0.000 0.500 [3 per cell]
B 0.500 0.500 0.500 [1 per cell]



Record 5
Compound: InSi2B
Source: Alexandria
Functional: PBE-GGA
Structure: optimized geometry

Values from the calculation:
E   -4.68 eV per atom
Uncorrected formation energy   390 meV/atom
E above lowest polymorph   0.0000 eV per atom

abc: 5.565 5.565 9.695
angles: 90.00 90.00 90.00
Space group I-42d (No. 122)
Unique sites:
In 0.000 0.000 0.000 [4 per cell]
Si 0.152 0.250 0.625 [8 per cell]
B 0.000 0.000 0.500 [4 per cell]



Record 6
Compound: InSiB2
Source: Alexandria
Functional: PBE-GGA
Structure: optimized geometry

Values from the calculation:
E   -4.65 eV per atom
Uncorrected formation energy   729 meV/atom
E above lowest polymorph   0.0000 eV per atom

abc: 5.188 5.188 9.526
angles: 90.00 90.00 90.00
Space group I-42d (No. 122)
Unique sites:
In 0.000 0.000 0.000 [4 per cell]
Si 0.000 0.000 0.500 [4 per cell]
B 0.188 0.250 0.625 [8 per cell]



Record 7
Compound: In2SiB
Source: Alexandria
Functional: PBE-GGA
Structure: optimized geometry

Values from the calculation:
E   -3.36 eV per atom
Uncorrected formation energy   1032 meV/atom
E above lowest polymorph   0.2336 eV per atom

abc: 6.731 6.731 6.731
angles: 90.00 90.00 90.00
Space group Fm-3m (No. 225)
Unique sites:
In 0.250 0.250 0.250 [8 per cell]
Si 0.000 0.000 0.000 [4 per cell]
B 0.000 0.000 0.500 [4 per cell]



Record 8
Compound: InSiB2
Source: Alexandria
Functional: PBE-GGA
Structure: optimized geometry

Values from the calculation:
E   -3.90 eV per atom
Uncorrected formation energy   1480 meV/atom
E above lowest polymorph   0.7510 eV per atom

abc: 5.959 5.959 5.959
angles: 90.00 90.00 90.00
Space group Fm-3m (No. 225)
Unique sites:
In 0.000 0.000 0.000 [4 per cell]
Si 0.000 0.000 0.500 [4 per cell]
B 0.250 0.250 0.250 [8 per cell]



- Which value of E does entry 4 give?
  -2.94 eV per atom